[1]
Al2CoRh: relaxed, PBE.

Cell: 4.862 4.862 4.862 Å, 137.01 137.01 62.42°
Element x y z (fractional)
Al (0.000, 0.000, 0.000)
Al (0.750, 0.250, 0.500)
Co (0.250, 0.750, 0.500)
Rh (0.500, 0.500, 0.000)

Properties
ΔE_f (eV/atom): -0.553



[2]
AlCo2Rh2: relaxed, PBE.

Cell: 6.050 6.050 3.606 Å, 90.00 90.00 90.00°
Element x y z (fractional)
Al (0.000, 0.000, 0.000)
Al (0.500, 0.500, 0.000)
Co (0.131, 0.369, 0.000)
Co (0.369, 0.869, 0.000)
Co (0.631, 0.131, 0.000)
Co (0.869, 0.631, 0.000)
Rh (0.161, 0.661, 0.500)
Rh (0.339, 0.161, 0.500)
Rh (0.661, 0.839, 0.500)
Rh (0.839, 0.339, 0.500)

Properties
ΔE_f (eV/atom): 0.009



[3]
Al8Co2Rh: relaxed, PBE.

Cell: 6.994 6.994 6.994 Å, 147.52 120.62 69.33°
Element x y z (fractional)
Al (0.119, 0.337, 0.782)
Al (0.150, 0.150, 0.000)
Al (0.313, 0.000, 0.313)
Al (0.445, 0.663, 0.782)
Al (0.555, 0.337, 0.218)
Al (0.687, 0.000, 0.687)
Al (0.850, 0.850, 0.000)
Al (0.881, 0.663, 0.218)
Co (0.310, 0.810, 0.500)
Co (0.690, 0.190, 0.500)
Rh (0.000, 0.500, 0.500)

Properties
ΔE_f (eV/atom): -0.448



[4]
AlCoRh2: relaxed, PBE.

Cell: 8.445 8.445 8.445 Å, 18.64 18.64 18.64°
Element x y z (fractional)
Al (0.000, 0.000, 0.000)
Co (0.746, 0.746, 0.746)
Rh (0.253, 0.253, 0.253)
Rh (0.494, 0.494, 0.494)

Properties
ΔE_f (eV/atom): -0.179



[5]
Al2CoRh: relaxed, PBE.

Cell: 4.764 4.764 4.229 Å, 106.57 106.57 34.89°
Element x y z (fractional)
Al (0.000, 0.000, 0.000)
Al (0.233, 0.233, 0.623)
Co (0.496, 0.496, 0.508)
Rh (0.744, 0.744, 0.129)

Properties
ΔE_f (eV/atom): -0.642



[6]
AlCoRh2: relaxed, PBE.

Cell: 4.248 4.248 2.943 Å, 90.00 90.00 90.00°
Element x y z (fractional)
Al (0.000, 0.000, 0.000)
Co (0.500, 0.500, 0.000)
Rh (0.000, 0.500, 0.500)
Rh (0.500, 0.000, 0.500)

Properties
ΔE_f (eV/atom): -0.461



[7]
AlCoRh2: relaxed, PBE.

Cell: 2.922 2.922 6.230 Å, 90.00 90.00 90.00°
Element x y z (fractional)
Al (0.000, 0.000, 0.000)
Co (0.000, 0.000, 0.500)
Rh (0.500, 0.500, 0.243)
Rh (0.500, 0.500, 0.757)

Properties
ΔE_f (eV/atom): -0.470



[8]
AlCo2Rh: relaxed, PBE.

Cell: 4.577 4.577 4.330 Å, 108.53 108.53 35.77°
Element x y z (fractional)
Al (0.000, 0.000, 0.000)
Co (0.254, 0.254, 0.666)
Co (0.515, 0.515, 0.527)
Rh (0.752, 0.752, 0.174)

Properties
ΔE_f (eV/atom): -0.276



[9]
AlCoRh: relaxed, PBE.

Cell: 4.981 4.981 4.981 Å, 145.99 145.99 48.86°
Element x y z (fractional)
Al (0.000, 0.000, 0.000)
Co (0.654, 0.654, 0.000)
Rh (0.333, 0.333, 0.000)

Properties
Excess energy over the best structure of this formula in the dataset (eV/atom): 0.000
ΔE_f (eV/atom): -0.451



[10]
AlCoRh3: relaxed, PBE.

Cell: 4.435 4.435 4.435 Å, 90.00 90.00 90.00°
Element x y z (fractional)
Al (0.000, 0.000, 0.000)
Co (0.500, 0.500, 0.500)
Rh (0.000, 0.500, 0.500)
Rh (0.500, 0.000, 0.500)
Rh (0.500, 0.500, 0.000)

Properties
Excess energy over the best structure of this formula in the dataset (eV/atom): 0.000
ΔE_f (eV/atom): 0.786



[11]
AlCoRh2: relaxed, PBE.

Cell: 4.604 4.604 4.604 Å, 132.21 132.21 69.90°
Element x y z (fractional)
Al (0.000, 0.000, 0.000)
Co (0.250, 0.750, 0.500)
Rh (0.500, 0.500, 0.000)
Rh (0.750, 0.250, 0.500)

Properties
ΔE_f (eV/atom): -0.369



[12]
AlCo2Rh: relaxed, PBE.

Cell: 4.137 4.137 4.137 Å, 120.35 120.35 89.39°
Element x y z (fractional)
Al (0.000, 0.000, 0.000)
Co (0.250, 0.750, 0.500)
Co (0.500, 0.500, 0.000)
Rh (0.750, 0.250, 0.500)

Properties
ΔE_f (eV/atom): -0.319



[13]
AlCoRh2: relaxed, PBE.

Cell: 4.254 4.254 4.254 Å, 60.00 60.00 60.00°
Element x y z (fractional)
Al (0.000, 0.000, 0.000)
Co (0.250, 0.250, 0.250)
Rh (0.500, 0.500, 0.500)
Rh (0.750, 0.750, 0.750)

Properties
ΔE_f (eV/atom): -0.230



[14]
AlCo2Rh: relaxed, PBE.

Cell: 8.215 8.215 8.215 Å, 18.92 18.92 18.92°
Element x y z (fractional)
Al (0.000, 0.000, 0.000)
Co (0.251, 0.251, 0.251)
Co (0.506, 0.506, 0.506)
Rh (0.751, 0.751, 0.751)

Properties
ΔE_f (eV/atom): -0.139



[15]
Al2CoRh: relaxed, PBE.

Cell: 3.126 3.126 5.490 Å, 90.00 90.00 90.00°
Element x y z (fractional)
Al (0.000, 0.000, 0.000)
Al (0.500, 0.500, 0.296)
Co (0.000, 0.000, 0.477)
Rh (0.500, 0.500, 0.788)

Properties
ΔE_f (eV/atom): -0.462